#a
A relaxed InPdC3 crystal, computed with PBE.

Geometry as POSCAR:
```
InPdC3
1.0
4.286 0.000 0.000
0.000 4.286 0.000
0.000 0.000 4.286
In Pd C
1 1 3
direct
0.000 0.000 0.000
0.500 0.500 0.500
0.000 0.000 0.500
0.000 0.500 0.000
0.500 0.000 0.000
```

---

#b
A relaxed InPdC3 crystal, computed with PBE.

Geometry as POSCAR:
```
InPdC3
1.0
4.112 0.000 0.000
0.000 4.112 0.000
0.000 0.000 4.112
In Pd C
1 1 3
direct
0.000 0.000 0.000
0.500 0.500 0.500
0.000 0.500 0.500
0.500 0.000 0.500
0.500 0.500 0.000
```

---

Which of them is most stable, and which least? Most stable: #b; least stable: #a.

---

#a
A relaxed In3PdC crystal, computed with PBE.

Geometry as POSCAR:
```
In3PdC
1.0
4.662 0.000 0.000
0.000 4.662 0.000
0.000 0.000 4.662
In Pd C
3 1 1
direct
0.000 0.000 0.500
0.000 0.500 0.000
0.500 0.000 0.000
0.500 0.500 0.500
0.000 0.000 0.000
```

---

#b
A relaxed In3PdC crystal, computed with PBE.

Geometry as POSCAR:
```
In3PdC
1.0
5.169 0.000 0.000
0.000 5.169 0.000
0.000 0.000 5.169
In Pd C
3 1 1
direct
0.000 0.000 0.500
0.000 0.500 0.000
0.500 0.000 0.000
0.000 0.000 0.000
0.500 0.500 0.500
```

---

Which of them is most stable, and which least? Most stable: #a; least stable: #b.

---

#a
A relaxed InPt2C2 crystal, computed with PBE.

Geometry as POSCAR:
```
InPt2C2
1.0
7.322 0.000 0.000
0.000 7.322 0.000
0.000 0.000 3.090
In Pt C
2 4 4
direct
0.000 0.000 0.000
0.500 0.500 0.000
0.147 0.353 0.000
0.353 0.853 0.000
0.647 0.147 0.000
0.853 0.647 0.000
0.067 0.567 0.500
0.433 0.067 0.500
0.567 0.933 0.500
0.933 0.433 0.500
```

---

#b
A relaxed InPt2C2 crystal, computed with PBE.

Geometry as POSCAR:
```
InPt2C2
1.0
-1.832 1.832 6.086
1.832 -1.832 6.086
1.832 1.832 -6.086
In Pt C
1 2 2
direct
0.000 0.000 0.000
0.330 0.330 0.000
0.670 0.670 0.000
0.250 0.750 0.500
0.750 0.250 0.500
```

---

Which of them is most stable, and which least? Most stable: #b; least stable: #a.

---

#a
A relaxed In2ReC2 crystal, computed with PBE.

Geometry as POSCAR:
```
In2ReC2
1.0
5.836 0.000 0.000
0.000 5.836 0.000
0.000 0.000 4.728
In Re C
4 2 4
direct
0.175 0.325 0.000
0.325 0.825 0.000
0.675 0.175 0.000
0.825 0.675 0.000
0.000 0.000 0.500
0.500 0.500 0.500
0.247 0.747 0.500
0.253 0.247 0.500
0.747 0.753 0.500
0.753 0.253 0.500
```

---

#b
A relaxed In2ReC2 crystal, computed with PBE.

Geometry as POSCAR:
```
In2ReC2
1.0
-2.699 2.699 2.681
2.699 -2.699 2.681
2.699 2.699 -2.681
In Re C
2 1 2
direct
0.250 0.750 0.500
0.750 0.250 0.500
0.000 0.000 0.000
0.373 0.373 0.000
0.627 0.627 0.000
```

---

Which of them is most stable, and which least? Most stable: #b; least stable: #a.

---

#a
A relaxed In3RhC crystal, computed with PBE.

Geometry as POSCAR:
```
In3RhC
1.0
5.135 0.000 0.000
0.000 5.135 0.000
0.000 0.000 5.135
In Rh C
3 1 1
direct
0.000 0.000 0.500
0.000 0.500 0.000
0.500 0.000 0.000
0.000 0.000 0.000
0.500 0.500 0.500
```

---

#b
A relaxed In3RhC crystal, computed with PBE.

Geometry as POSCAR:
```
In3RhC
1.0
4.577 0.000 0.000
0.000 4.577 0.000
0.000 0.000 4.577
In Rh C
3 1 1
direct
0.000 0.000 0.500
0.000 0.500 0.000
0.500 0.000 0.000
0.500 0.500 0.500
0.000 0.000 0.000
```

---

Which of them is most stable, and which least? Most stable: #b; least stable: #a.

---

#a
A relaxed InRhC3 crystal, computed with PBE.

Geometry as POSCAR:
```
InRhC3
1.0
4.060 0.000 0.000
0.000 4.060 0.000
0.000 0.000 4.060
In Rh C
1 1 3
direct
0.000 0.000 0.000
0.500 0.500 0.500
0.000 0.500 0.500
0.500 0.000 0.500
0.500 0.500 0.000
```

---

#b
A relaxed InRhC3 crystal, computed with PBE.

Geometry as POSCAR:
```
InRhC3
1.0
4.226 0.000 0.000
0.000 4.226 0.000
0.000 0.000 4.226
In Rh C
1 1 3
direct
0.000 0.000 0.000
0.500 0.500 0.500
0.000 0.000 0.500
0.000 0.500 0.000
0.500 0.000 0.000
```

---

Which of them is most stable, and which least? Most stable: #a; least stable: #b.

---

#a
A relaxed In2Ru2C crystal, computed with PBE.

Geometry as POSCAR:
```
In2Ru2C
1.0
-1.903 1.903 6.426
1.903 -1.903 6.426
1.903 1.903 -6.426
In Ru C
2 2 1
direct
0.250 0.750 0.500
0.750 0.250 0.500
0.092 0.092 0.000
0.908 0.908 0.000
0.500 0.500 0.000
```

---

#b
A relaxed In2Ru2C crystal, computed with PBE.

Geometry as POSCAR:
```
In2Ru2C
1.0
5.732 0.000 0.000
0.000 5.732 0.000
0.000 0.000 4.787
In Ru C
4 4 2
direct
0.170 0.330 0.000
0.330 0.830 0.000
0.670 0.170 0.000
0.830 0.670 0.000
0.179 0.679 0.500
0.321 0.179 0.500
0.679 0.821 0.500
0.821 0.321 0.500
0.000 0.000 0.500
0.500 0.500 0.500
```

---

Which of them is most stable, and which least? Most stable: #b; least stable: #a.

---

#a
A relaxed In3RuC crystal, computed with PBE.

Geometry as POSCAR:
```
In3RuC
1.0
5.138 0.000 0.000
0.000 5.138 0.000
0.000 0.000 5.138
In Ru C
3 1 1
direct
0.000 0.000 0.500
0.000 0.500 0.000
0.500 0.000 0.000
0.000 0.000 0.000
0.500 0.500 0.500
```

---

#b
A relaxed In3RuC crystal, computed with PBE.

Geometry as POSCAR:
```
In3RuC
1.0
4.551 0.000 0.000
0.000 4.551 0.000
0.000 0.000 4.551
In Ru C
3 1 1
direct
0.000 0.000 0.500
0.000 0.500 0.000
0.500 0.000 0.000
0.500 0.500 0.500
0.000 0.000 0.000
```

---

Which of them is most stable, and which least? Most stable: #b; least stable: #a.